Below is an optimized crystal structure of Cs3Tl3CuI8, with properties calculated at the PBE level.

Output
Formation energy (no corrections) (eV per atom): -0.838
Calculated volume (A^3/atom): 52.742
DOS(E_F) (states/eV/cell): 5.2

Cell: 10.585 10.599 10.219 Å, 121.60 90.00 119.96°
Each line ends with the local moment (μB).
Positions (direct):
Cs (0.500, 0.000, 0.500)  0.00
Cs (0.500, 0.500, 0.500)  0.00
Cs (0.000, 0.500, 0.500)  0.00
Tl (0.000, 0.000, 0.000)  0.00
Tl (0.000, 0.500, 0.000)  0.00
Tl (0.500, 0.500, 0.000)  0.00
Cu (0.000, 0.000, 0.500)  0.39
I (0.242, 0.484, 0.224)  0.00
I (0.758, 0.516, 0.776)  0.00
I (0.818, 0.636, 0.306)  0.09
I (0.182, 0.364, 0.694)  0.09
I (0.792, 0.985, 0.276)  0.07
I (0.208, 0.015, 0.724)  0.07
I (0.193, 0.985, 0.276)  0.07
I (0.807, 0.015, 0.724)  0.07


Below is an optimized crystal structure of Cs3TmCu2I8, with properties calculated at the PBE level.

Output
Formation energy (no corrections) (eV per atom): -1.056
Calculated volume (A^3/atom): 46.296
DOS(E_F) (states/eV/cell): 0.0

Cell: 8.382 8.382 10.652 Å, 90.00 90.00 120.00°
Positions (direct):
Cs (0.333, 0.667, 0.643)
Cs (0.667, 0.333, 0.357)
Cs (0.000, 0.000, 0.000)
Tm (0.000, 0.000, 0.500)
Cu (0.333, 0.667, 0.225)
Cu (0.667, 0.333, 0.775)
I (0.333, 0.667, 0.991)
I (0.667, 0.333, 0.009)
I (0.165, 0.835, 0.330)
I (0.835, 0.165, 0.670)
I (0.165, 0.330, 0.330)
I (0.835, 0.670, 0.670)
I (0.670, 0.835, 0.330)
I (0.330, 0.165, 0.670)


Below is an optimized crystal structure of CsTmCuI6, with properties calculated at the PBE level.

Output
Formation energy (no corrections) (eV per atom): -0.957
Calculated volume (A^3/atom): 47.254
DOS(E_F) (states/eV/cell): 3.5

Cell: 8.917 7.415 8.275 Å, 82.08 76.63 53.03°
Each line ends with the local moment (μB).
Positions (direct):
Cs (0.080, 0.841, 0.000)  0.00
Tm (0.680, 0.641, 0.500)  0.00
Cu (0.321, 0.357, 0.500)  0.24
I (0.980, 0.368, 0.223)  0.01
I (0.383, 0.051, 0.730)  0.08
I (0.652, 0.369, 0.777)  0.01
I (0.961, 0.663, 0.632)  0.06
I (0.378, 0.661, 0.367)  0.06
I (0.565, 0.050, 0.270)  0.08


Below is an optimized crystal structure of CsTmCu2I6, with properties calculated at the PBE level.

Output
Formation energy (no corrections) (eV per atom): -0.875
Calculated volume (A^3/atom): 45.513
DOS(E_F) (states/eV/cell): 0.0

Cell: 7.721 10.875 10.875 Å, 87.84 87.08 87.08°
Positions (direct):
Cs (0.250, 0.921, 0.079)
Cs (0.750, 0.079, 0.921)
Tm (0.250, 0.277, 0.723)
Tm (0.750, 0.723, 0.277)
Cu (0.231, 0.654, 0.518)
Cu (0.269, 0.482, 0.346)
Cu (0.769, 0.346, 0.482)
Cu (0.731, 0.518, 0.654)
I (0.160, 0.018, 0.733)
I (0.340, 0.267, 0.982)
I (0.840, 0.982, 0.267)
I (0.660, 0.733, 0.018)
I (0.412, 0.816, 0.402)
I (0.088, 0.598, 0.184)
I (0.588, 0.184, 0.598)
I (0.912, 0.402, 0.816)
I (0.898, 0.691, 0.539)
I (0.602, 0.461, 0.309)
I (0.102, 0.309, 0.461)
I (0.398, 0.539, 0.691)


Below is an optimized crystal structure of Cs2UCuI6, with properties calculated at the PBE level.

Output
Formation energy (no corrections) (eV per atom): -0.945
Calculated volume (A^3/atom): 44.434
DOS(E_F) (states/eV/cell): 9.6

Cell: 6.983 8.572 8.572 Å, 120.00 90.00 90.00°
Each line ends with the local moment (μB).
Positions (direct):
Cs (0.259, 0.333, 0.667)  0.00
Cs (0.741, 0.667, 0.333)  0.00
U (0.500, 0.000, 0.000)  2.85
Cu (0.000, 0.000, 0.000)  0.01
I (0.766, 0.167, 0.334)  -0.01
I (0.766, 0.167, 0.833)  -0.01
I (0.766, 0.666, 0.833)  -0.01
I (0.234, 0.833, 0.167)  -0.01
I (0.234, 0.334, 0.167)  -0.01
I (0.234, 0.833, 0.666)  -0.01


Below is an optimized crystal structure of CsUCuI6, with properties calculated at the PBE level.

Output
Formation energy (no corrections) (eV per atom): -0.840
Calculated volume (A^3/atom): 49.915
DOS(E_F) (states/eV/cell): 10.1

Cell: 8.014 8.015 8.656 Å, 93.02 87.00 54.42°
Each line ends with the local moment (μB).
Positions (direct):
Cs (0.947, 0.947, 0.000)  0.00
U (0.664, 0.664, 0.500)  2.19
Cu (0.408, 0.408, 0.500)  -0.04
I (0.949, 0.406, 0.216)  -0.04
I (0.406, 0.949, 0.784)  -0.04
I (0.703, 0.320, 0.668)  -0.03
I (0.045, 0.559, 0.657)  -0.03
I (0.320, 0.702, 0.332)  -0.03
I (0.559, 0.045, 0.343)  -0.03


Below is an optimized crystal structure of CsVCu2I8, with properties calculated at the PBE level.

Output
Formation energy (no corrections) (eV per atom): -0.439
Calculated volume (A^3/atom): 39.926
DOS(E_F) (states/eV/cell): 12.6

Cell: 6.980 6.980 10.904 Å, 79.91 79.91 67.30°
Each line ends with the local moment (μB).
Positions (direct):
Cs (0.000, 0.000, 0.500)  0.00
V (0.000, 0.000, 0.000)  1.50
Cu (0.611, 0.611, 0.197)  -0.16
Cu (0.389, 0.389, 0.803)  -0.16
I (0.795, 0.284, 0.815)  -0.08
I (0.767, 0.767, 0.992)  -0.10
I (0.665, 0.665, 0.409)  -0.11
I (0.335, 0.335, 0.591)  -0.11
I (0.233, 0.233, 0.008)  -0.10
I (0.284, 0.795, 0.815)  -0.08
I (0.716, 0.205, 0.185)  -0.08
I (0.205, 0.716, 0.185)  -0.08


Below is an optimized crystal structure of CsYCuI5, with properties calculated at the PBE level.

Output
Formation energy (no corrections) (eV per atom): -1.100
Calculated volume (A^3/atom): 45.232
DOS(E_F) (states/eV/cell): 0.0

Cell: 8.461 8.461 11.409 Å, 103.98 103.98 105.09°
Positions (direct):
Cs (0.356, 0.644, 0.250)
Cs (0.644, 0.356, 0.750)
Y (0.000, 0.000, 0.500)
Y (0.000, 0.000, 0.000)
Cu (0.691, 0.309, 0.250)
Cu (0.309, 0.691, 0.750)
I (0.076, 0.924, 0.250)
I (0.924, 0.076, 0.750)
I (0.900, 0.311, 0.112)
I (0.100, 0.689, 0.888)
I (0.689, 0.100, 0.388)
I (0.311, 0.900, 0.612)
I (0.780, 0.618, 0.429)
I (0.220, 0.382, 0.571)
I (0.382, 0.220, 0.071)
I (0.618, 0.780, 0.929)


Below is an optimized crystal structure of Cs2YCu2I6, with properties calculated at the PBE level.

Output
Formation energy (no corrections) (eV per atom): -0.882
Calculated volume (A^3/atom): 43.623
DOS(E_F) (states/eV/cell): 2.3

Cell: 8.813 8.519 8.811 Å, 117.01 90.00 121.15°
Positions (direct):
Cs (0.734, 0.467, 0.207)
Cs (0.266, 0.533, 0.793)
Y (0.500, 0.000, 0.500)
Cu (0.928, 0.857, 0.707)
Cu (0.072, 0.143, 0.293)
I (0.749, 0.497, 0.705)
I (0.238, 0.958, 0.234)
I (0.280, 0.042, 0.766)
I (0.762, 0.042, 0.766)
I (0.720, 0.958, 0.234)
I (0.251, 0.503, 0.295)


Below is an optimized crystal structure of CsYCuI6, with properties calculated at the PBE level.

Output
Formation energy (no corrections) (eV per atom): -0.971
Calculated volume (A^3/atom): 47.866
DOS(E_F) (states/eV/cell): 3.4

Cell: 8.966 7.443 8.318 Å, 82.00 76.47 52.96°
Each line ends with the local moment (μB).
Positions (direct):
Cs (0.079, 0.841, 0.000)  0.00
Y (0.681, 0.638, 0.500)  0.00
Cu (0.321, 0.357, 0.499)  0.26
I (0.984, 0.367, 0.220)  0.01
I (0.382, 0.054, 0.730)  0.09
I (0.649, 0.369, 0.782)  0.01
I (0.963, 0.663, 0.633)  0.07
I (0.377, 0.659, 0.365)  0.07
I (0.564, 0.052, 0.270)  0.09


Below is an optimized crystal structure of Cs2ZnCuI, with properties calculated at the PBE level.

Output
Formation energy (no corrections) (eV per atom): 0.023
Calculated volume (A^3/atom): 58.344
DOS(E_F) (states/eV/cell): 3.2

Cell: 7.358 5.388 7.358 Å, 90.00 90.00 90.00°
Positions (direct):
Cs (0.000, 0.000, 0.500)
Cs (0.500, 0.000, 0.000)
I (0.000, 0.000, 0.000)
Zn (0.500, 0.500, 0.500)
Cu (0.000, 0.500, 0.000)


Below is an optimized crystal structure of Cs2ZnCuI6, with properties calculated at the PBE level.

Output
Formation energy (no corrections) (eV per atom): -0.761
Calculated volume (A^3/atom): 42.207
DOS(E_F) (states/eV/cell): 0.0

Cell: 8.389 8.389 8.436 Å, 60.18 60.18 90.00°
Each line ends with the local moment (μB).
Positions (direct):
Cs (0.750, 0.250, 0.500)  0.00
Cs (0.250, 0.750, 0.500)  0.00
I (0.211, 0.211, 0.579)  0.04
I (0.789, 0.789, 0.421)  0.04
I (0.276, 0.276, 0.000)  0.10
I (0.724, 0.724, 0.000)  0.10
I (0.724, 0.276, 0.000)  0.10
I (0.276, 0.724, 0.000)  0.10
Zn (0.000, 0.000, 0.000)  0.01
Cu (0.500, 0.500, 0.000)  0.29


Below is an optimized crystal structure of Cs2ZnCu2I6, with properties calculated at the PBE level.

Output
Formation energy (no corrections) (eV per atom): -0.708
Calculated volume (A^3/atom): 41.343

Cell: 8.121 8.396 8.620 Å, 114.15 90.00 118.92°
Positions (direct):
Cs (0.720, 0.439, 0.204)
Cs (0.280, 0.561, 0.796)
Zn (0.500, 0.000, 0.500)
Cu (0.922, 0.844, 0.714)
Cu (0.078, 0.156, 0.286)
I (0.743, 0.485, 0.682)
I (0.235, 0.948, 0.242)
I (0.288, 0.052, 0.758)
I (0.765, 0.052, 0.758)
I (0.712, 0.948, 0.242)
I (0.257, 0.515, 0.318)


Below is an optimized crystal structure of Cs2ZrCuI6, with properties calculated at the PBE level.

Output
Formation energy (no corrections) (eV per atom): -0.910
Calculated volume (A^3/atom): 40.280
DOS(E_F) (states/eV/cell): 10.0

Cell: 8.277 8.277 8.296 Å, 60.08 60.08 90.00°
Each line ends with the local moment (μB).
Positions (direct):
Cs (0.750, 0.250, 0.500)  0.00
Cs (0.250, 0.750, 0.500)  0.00
I (0.251, 0.251, 0.499)  -0.01
I (0.749, 0.749, 0.501)  -0.01
I (0.252, 0.252, 0.000)  -0.01
I (0.748, 0.748, 0.000)  -0.01
I (0.748, 0.252, 0.000)  -0.01
I (0.252, 0.748, 0.000)  -0.01
Cu (0.500, 0.500, 0.000)  0.00
Zr (0.000, 0.000, 0.000)  0.70


Below is an optimized crystal structure of CsInCu3, with properties calculated at the PBE level.

Output
Energy relative to the lowest polymorph listed for this composition (meV per atom): 0
Calculated volume (A^3/atom): 27.656
Energy of formation from the pure elements (kJ/mol of atoms): 45.0
DOS(E_F) (states/eV/cell): 1.8

Cell: 5.171 5.171 5.171 Å, 90.00 90.00 90.00°
Positions (direct):
Cs (0.500, 0.500, 0.500)
Cu (0.000, 0.500, 0.000)
Cu (0.000, 0.000, 0.500)
Cu (0.500, 0.000, 0.000)
In (0.000, 0.000, 0.000)


Below is an optimized crystal structure of CsIn2Cu2, with properties calculated at the PBE level.

Output
Energy relative to the lowest polymorph listed for this composition (meV per atom): 111
Calculated volume (A^3/atom): 25.611
Energy of formation from the pure elements (kJ/mol of atoms): 30.8
DOS(E_F) (states/eV/cell): 2.9

Cell: 8.831 8.831 3.284 Å, 90.00 90.00 90.00°
Positions (direct):
Cs (0.000, 0.000, 0.000)
Cs (0.500, 0.500, 0.000)
In (0.876, 0.376, 0.000)
In (0.624, 0.876, 0.000)
In (0.124, 0.624, 0.000)
In (0.376, 0.124, 0.000)
Cu (0.648, 0.148, 0.500)
Cu (0.852, 0.648, 0.500)
Cu (0.352, 0.852, 0.500)
Cu (0.148, 0.352, 0.500)


Below is an optimized crystal structure of CsIn2Cu2, with properties calculated at the PBE level.

Output
Energy relative to the lowest polymorph listed for this composition (meV per atom): 0
Calculated volume (A^3/atom): 26.537
Energy of formation from the pure elements (kJ/mol of atoms): 20.0
DOS(E_F) (states/eV/cell): 3.6

Cell: 4.766 4.766 6.744 Å, 69.31 69.31 90.00°
Positions (direct):
Cs (0.000, 0.000, 0.000)
Cu (0.385, 0.385, 0.230)
Cu (0.615, 0.615, 0.770)
In (0.750, 0.250, 0.500)
In (0.250, 0.750, 0.500)


Below is an optimized crystal structure of Cs2InCu, with properties calculated at the PBE level.

Output
Calculated volume (A^3/atom): 60.341
Energy of formation from the pure elements (kJ/mol of atoms): 15.1
DOS(E_F) (states/eV/cell): 7.9

Cell: 10.102 10.102 10.102 Å, 93.57 93.57 151.08°
Positions (direct):
Cs (0.693, 0.375, 0.818)
Cs (0.557, 0.875, 0.182)
Cs (0.125, 0.307, 0.682)
Cs (0.625, 0.443, 0.318)
In (0.000, 0.000, 0.000)
In (0.250, 0.750, 0.500)
Cu (0.500, 0.500, 0.000)
Cu (0.750, 0.250, 0.500)


Below is an optimized crystal structure of Cs2In4Cu, with properties calculated at the PBE level.

Output
Calculated volume (A^3/atom): 40.661
Energy of formation from the pure elements (kJ/mol of atoms): 5.3
DOS(E_F) (states/eV/cell): 2.6

Cell: 5.208 5.208 11.120 Å, 76.46 76.46 90.00°
Positions (direct):
Cs (0.670, 0.670, 0.660)
Cs (0.330, 0.330, 0.340)
Cu (0.000, 0.000, 0.000)
In (0.878, 0.878, 0.244)
In (0.122, 0.122, 0.756)
In (0.000, 0.500, 0.000)
In (0.500, 0.000, 0.000)


Below is an optimized crystal structure of Cs2In2Cu, with properties calculated at the PBE level.

Output
Calculated volume (A^3/atom): 36.834
Energy of formation from the pure elements (kJ/mol of atoms): 19.5
DOS(E_F) (states/eV/cell): 12.7

Cell: 7.451 7.451 6.635 Å, 90.00 90.00 90.00°
Positions (direct):
Cs (0.183, 0.683, 0.500)
Cs (0.683, 0.817, 0.500)
Cs (0.817, 0.317, 0.500)
Cs (0.317, 0.183, 0.500)
Cu (0.000, 0.000, 0.000)
Cu (0.500, 0.500, 0.000)
In (0.354, 0.854, 0.000)
In (0.854, 0.646, 0.000)
In (0.646, 0.146, 0.000)
In (0.146, 0.354, 0.000)